# 1
# PBE Na2Pr2Hg3, relaxed
# Energy (Ry/atom): -0.162
# Crystal system: orthorhombic
data_Na2Pr2Hg3
_chemical_formula_sum 'Na4 Pr4 Hg6'
_symmetry_space_group_name_H-M 'C m m m'
_symmetry_Int_Tables_number 65
_symmetry_space_group_name_Hall '-C 2 2'
_cell_length_a 3.833
_cell_length_b 29.200
_cell_length_c 3.791
_cell_angle_alpha 90.00
_cell_angle_beta 90.00
_cell_angle_gamma 90.00
loop_
_atom_site_label
_atom_site_fract_x
_atom_site_fract_y
_atom_site_fract_z
_atom_site_occupancy
Na1 0.000 0.196 0.000 1
Pr1 0.000 0.067 0.000 1
Hg1 0.000 0.367 0.500 1
Hg2 0.000 0.500 0.500 1

***

# 2
# PBE Er2BeB2Ru5, relaxed
# Energy (Ry/atom): -0.562
# Crystal system: tetragonal
data_Er2BeB2Ru5
_chemical_formula_sum 'Er4 Be2 B4 Ru10'
_symmetry_space_group_name_H-M 'P 4/m b m'
_symmetry_Int_Tables_number 127
_symmetry_space_group_name_Hall '-P 4 2ab'
_cell_length_a 9.372
_cell_length_b 9.372
_cell_length_c 3.080
_cell_angle_alpha 90.00
_cell_angle_beta 90.00
_cell_angle_gamma 90.00
loop_
_atom_site_label
_atom_site_fract_x
_atom_site_fract_y
_atom_site_fract_z
_atom_site_occupancy
Er1 0.175 0.325 0.000 1
Be1 0.000 0.000 0.000 1
B1 0.127 0.627 0.000 1
Ru1 0.000 0.500 0.500 1
Ru2 0.068 0.792 0.500 1

***

D(E_F) values, unit states/eV per atom, following the record order: 0.575; 1.156.